1.
Material: ScSbTe2O
Method: DFT, GGA-PBEsol
State: optimized geometry

Cell: 4.8337 4.8337 4.6111 Å, 90.00 90.00 90.00°
Element x y z (fractional)
Sc (0.0000, 0.0000, 0.0000)
Sb (0.5000, 0.5000, 0.0000)
Te (0.0000, 0.5000, 0.5000)
Te (0.5000, 0.0000, 0.5000)
O (0.5000, 0.5000, 0.5000)

Summary:
DOS(E_F): 2.2 states/eV per cell
E_tot: -25.5 eV per cell
space group: P4/mmm, No. 123
magnetic moment: 0.0 μB/cell

***

2.
Material: SbSeO5
Method: DFT, GGA-PBEsol
State: optimized geometry

Cell: 5.2021 9.4479 9.6695 Å, 90.00 90.00 90.00°
Element x y z (fractional)
Sb (0.1250, 0.1552, 0.4066)
Sb (0.3750, 0.8448, 0.9066)
Sb (0.6250, 0.3448, 0.5934)
Sb (0.8750, 0.6552, 0.0934)
Se (0.1184, 0.5342, 0.7847)
Se (0.3816, 0.4658, 0.2847)
Se (0.6184, 0.9658, 0.2153)
Se (0.8816, 0.0342, 0.7153)
O (0.0447, 0.5090, 0.9560)
O (0.1123, 0.8089, 0.0470)
O (0.1356, 0.0136, 0.8218)
O (0.1429, 0.5817, 0.2526)
O (0.2054, 0.7076, 0.7607)
O (0.2946, 0.2924, 0.2607)
O (0.3571, 0.4183, 0.7526)
O (0.3644, 0.9864, 0.3218)
O (0.3877, 0.1911, 0.5470)
O (0.4553, 0.4910, 0.4560)
O (0.5447, 0.9910, 0.0440)
O (0.6123, 0.6911, 0.9530)
O (0.6356, 0.4864, 0.1782)
O (0.6429, 0.9183, 0.7474)
O (0.7054, 0.7924, 0.2393)
O (0.7946, 0.2076, 0.7393)
O (0.8571, 0.0817, 0.2474)
O (0.8644, 0.5136, 0.6782)
O (0.8877, 0.3089, 0.4530)
O (0.9553, 0.0090, 0.5440)

Summary:
DOS(E_F): 1.8 states/eV per cell
E_tot: -161.3 eV per cell
space group: P2_12_12_1, No. 19
magnetic moment: 0.0 μB/cell

***

3.
Material: Sb2SeO
Method: DFT, GGA-PBEsol
State: optimized geometry

Cell: 6.6917 6.6917 6.6917 Å, 90.00 90.00 90.00°
Element x y z (fractional)
Sb (0.2500, 0.2500, 0.2500)
Sb (0.2500, 0.2500, 0.7500)
Sb (0.2500, 0.7500, 0.2500)
Sb (0.2500, 0.7500, 0.7500)
Sb (0.7500, 0.2500, 0.2500)
Sb (0.7500, 0.2500, 0.7500)
Sb (0.7500, 0.7500, 0.2500)
Sb (0.7500, 0.7500, 0.7500)
Se (0.0000, 0.0000, 0.0000)
Se (0.0000, 0.5000, 0.5000)
Se (0.5000, 0.0000, 0.5000)
Se (0.5000, 0.5000, 0.0000)
O (0.0000, 0.0000, 0.5000)
O (0.0000, 0.5000, 0.0000)
O (0.5000, 0.0000, 0.0000)
O (0.5000, 0.5000, 0.5000)

Summary:
DOS(E_F): 10.0 states/eV per cell
offset from the most stable computed form: 357.3 meV per atom
space group: Fm-3m, No. 225
magnetic moment: 0.0 μB/cell

***

4.
Material: Sb2SeO
Method: DFT, GGA-PBEsol
State: optimized geometry

Cell: 5.0859 5.0859 14.5754 Å, 90.00 90.00 90.00°
Element x y z (fractional)
Sb (0.1428, 0.2500, 0.1250)
Sb (0.2500, 0.6428, 0.3750)
Sb (0.2500, 0.8572, 0.8750)
Sb (0.3572, 0.2500, 0.6250)
Sb (0.6428, 0.7500, 0.6250)
Sb (0.7500, 0.1428, 0.8750)
Sb (0.7500, 0.3572, 0.3750)
Sb (0.8572, 0.7500, 0.1250)
Se (0.0000, 0.0000, 0.5000)
Se (0.0000, 0.5000, 0.7500)
Se (0.5000, 0.0000, 0.2500)
Se (0.5000, 0.5000, 0.0000)
O (0.0000, 0.0000, 0.0000)
O (0.0000, 0.5000, 0.2500)
O (0.5000, 0.0000, 0.7500)
O (0.5000, 0.5000, 0.5000)

Summary:
DOS(E_F): 6.3 states/eV per cell
offset from the most stable computed form: 0.0 meV per atom
space group: I-42d, No. 122
magnetic moment: 0.0 μB/cell